Entry 1:
The following is a PBE calculation of an optimized crystal structure of Tb2ScTl2, from Alexandria.

Calculated values
* energy relative to the lowest polymorph listed for this composition: 0.000 eV per atom

a b c (Å): 7.9144 7.9144 4.4530
angles (deg): 90.00 90.00 90.00
Closest atoms and distances in Å follow each position.
Space group P4/mbm (No. 127)
Asymmetric unit:
Tb  0.1710  0.3290  0.0000 [4 per cell]  6 Tl 3.11-3.30
Sc  0.0000  0.0000  0.5000 [2 per cell]  4 Tl 3.08
Tl  0.1347  0.6347  0.5000 [4 per cell]  1 Tl 3.02, 2 Sc 3.08, 6 Tb 3.11-3.30

---

Entry 2:
The following is a PBE calculation of an optimized crystal structure of Tb4Sc4Tl, from Alexandria.

a b c (Å): 10.2342 10.2342 4.7146
angles (deg): 90.00 90.00 90.00
Closest atoms and distances in Å follow each position.
Space group I4/mmm (No. 139)
Asymmetric unit:
Tb  0.1633  0.1633  0.0000 [8 per cell]  2 Tl 3.34, 4 Tb 3.34-3.44, 6 Sc 3.43-3.45
Sc  0.0000  0.3436  0.5000 [8 per cell]  5 Sc 3.20-3.27, 6 Tb 3.43-3.45, 1 Tl 3.52
Tl  0.0000  0.0000  0.5000 [2 per cell]  8 Tb 3.34, 4 Sc 3.52

---

Entry 3:
The following is a PBE calculation of an optimized crystal structure of Tb5Sc2Tl, from Alexandria.

a b c (Å): 8.6501 14.7847 3.6513
angles (deg): 90.00 90.00 90.00
Closest atoms and distances in Å follow each position.
Space group Cmmm (No. 65)
Asymmetric unit:
Tb  0.0000  0.0000  0.0000 [2 per cell]  2 Sc 3.38, 10 Tb 3.55-3.65
Tb  0.2237  0.3722  0.5000 [8 per cell]  2 Tl 3.26, 4 Sc 3.36-3.40, 5 Tb 3.55-3.65
Sc  0.0000  0.2287  0.0000 [4 per cell]  9 Tb 3.36-3.40, 2 Sc 3.65
Tl  0.0000  0.5000  0.0000 [2 per cell]  8 Tb 3.26, 2 Tl 3.65

---

no.,electronic total energy (eV/atom)
1,-4.36
2,-5.16
3,-4.82